## Zn2CuIr (PBE-GGA)

Data for a relaxed Zn2CuIr crystal.

Results
ρ = 11.79 g/cm3
DOS at the Fermi energy = 2.2 states/eV/cell
DFT total energy = -4.05 eV per atom
Formation energy = -0.69 eV per formula unit

```
data_Zn2CuIr
_chemical_formula_sum 'Zn4 Cu2 Ir2'
_symmetry_space_group_name_H-M 'I 4/m m m'
_symmetry_Int_Tables_number 139
_symmetry_space_group_name_Hall '-I 4 2'
_cell_length_a 3.903
_cell_length_b 3.903
_cell_length_c 7.149
_cell_angle_alpha 90.00
_cell_angle_beta 90.00
_cell_angle_gamma 90.00
loop_
_atom_site_label
_atom_site_type_symbol
_atom_site_fract_x
_atom_site_fract_y
_atom_site_fract_z
Zn1 Zn 0.000 0.500 0.250
Cu1 Cu 0.000 0.000 0.000
Ir1 Ir 0.000 0.000 0.500
```